Entry 1:
Here is TmIn3Cu8 after structural relaxation from the Alexandria database. Energies are from PBE.

The structure in POSCAR format:
```
TmIn3Cu8
1.0
5.064 0.000 0.000
-2.532 4.386 0.000
0.000 0.000 8.393
Tm In Cu
1 3 8
Direct
0.000 0.000 0.000
0.000 0.000 0.373
0.667 0.333 0.494
0.667 0.333 0.868
0.165 0.330 0.681
0.165 0.835 0.681
0.333 0.667 0.433
0.333 0.667 0.928
0.501 0.001 0.185
0.501 0.499 0.185
0.670 0.835 0.681
0.999 0.499 0.185
```

Values from the calculation:
Its density is 9.10 g/cm3. Its space group is P3m1 (156). For the formation energy, the calculation gives -0.13 eV/atom. The value obtained for the energy is -3.916 eV/atom. The calculation puts the energy above the lowest structure with this stoichiometry at 23 meV/atom.

Entry 2:
Here is Tm2In2Cu15 after structural relaxation from the Alexandria database. Energies are from PBE.

The structure in POSCAR format:
```
Tm2In2Cu15
1.0
4.358 2.516 4.257
-4.358 2.516 4.257
0.000 -5.032 4.257
Tm In Cu
2 2 15
Direct
0.143 0.143 0.143
0.857 0.857 0.857
0.390 0.390 0.390
0.610 0.610 0.610
0.000 0.500 0.500
0.149 0.149 0.663
0.149 0.663 0.149
0.189 0.500 0.811
0.189 0.811 0.500
0.337 0.851 0.851
0.500 0.000 0.500
0.500 0.189 0.811
0.500 0.500 0.000
0.500 0.811 0.189
0.663 0.149 0.149
0.811 0.189 0.500
0.811 0.500 0.189
0.851 0.337 0.851
0.851 0.851 0.337
```

Values from the calculation:
Its density is 9.02 g/cm3. Its space group is R-3m (166). For the formation energy, the calculation gives -0.11 eV/atom. The value obtained for the energy is -4.100 eV/atom.